*1*
4
Lattice="-1.494 -3.009 -1.326 3.289 0.311 1.458 -3.425 -1.883 8.129" Properties=species:S:1:pos:R:3 comment="BeFeBr2 (PBE, optimized geometry)" spacegroup="No. 35" m_tot_mub_per_cell=3.109 pbc="T T T"
Br -3.075 -1.690 7.298
Be -1.625 -2.735 6.052
Br -0.240 -1.974 2.766
Fe -1.828 -1.005 4.337

*2*
4
Lattice="-0.989 -3.013 1.185 1.310 0.761 3.030 -6.299 2.883 2.076" Properties=species:S:1:pos:R:3 comment="BeFeBr2 (PBE, optimized geometry)" spacegroup="No. 6" m_tot_mub_per_cell=2.000 pbc="T T T"
Be -3.287 0.962 4.542
Br -4.389 3.193 4.458
Br -2.340 -0.144 2.518
Fe -3.445 2.087 2.433

Stability summary: most stable *2*, least stable *1*.

*1*
8
Lattice="-1.778 4.737 2.017 1.302 -1.650 5.024 4.489 3.557 2.957" Properties=species:S:1:pos:R:3 comment="BeFeBr2 (PBE, optimized geometry)" spacegroup="No. 122" m_tot_mub_per_cell=4.020 pbc="T T T"
Fe 0.000 0.000 0.000
Br 2.913 5.416 8.233
Fe 1.237 4.918 4.247
Br 0.225 3.506 2.569
Be 2.776 1.725 5.751
Br 3.226 3.777 5.004
Be -0.238 1.543 3.520
Br 1.662 0.587 4.190

*2*
4
Lattice="2.024 0.000 7.695 -1.012 1.753 7.695 -1.012 -1.753 7.695" Properties=species:S:1:pos:R:3 comment="BeFeBr2 (PBE, optimized geometry)" spacegroup="No. 166" m_tot_mub_per_cell=2.851 pbc="T T T"
Be 0.000 0.000 0.000
Br 0.000 0.000 2.210
Br 0.000 0.000 20.874
Fe 0.000 0.000 11.542

Stability summary: most stable *1*, least stable *2*.

*1*
5
Lattice="4.237 0.000 0.000 0.000 4.237 0.000 0.000 0.000 4.237" Properties=species:S:1:pos:R:3 comment="Be3FeBr (PBE, optimized geometry)" spacegroup="No. 221" m_tot_mub_per_cell=1.551 pbc="T T T"
Be 0.000 0.000 2.118
Be 2.118 0.000 0.000
Br 2.118 2.118 2.118
Fe 0.000 0.000 0.000
Be 0.000 2.118 0.000

*2*
5
Lattice="-2.728 -3.249 0.414 2.493 -1.711 3.005 -2.124 2.166 2.995" Properties=species:S:1:pos:R:3 comment="Be3FeBr (PBE, optimized geometry)" spacegroup="No. 221" m_tot_mub_per_cell=2.132 pbc="T T T"
Fe -1.179 -1.397 3.207
Br 0.000 0.000 0.000
Be -1.364 -1.624 0.207
Be 1.247 -0.855 1.502
Be -1.062 1.083 1.498

Stability summary: most stable *1*, least stable *2*.

*1*
5
Lattice="4.583 0.000 0.000 0.000 4.583 0.000 0.000 0.000 5.103" Properties=species:S:1:pos:R:3 comment="BeFeSe2Br (PBE, optimized geometry)" spacegroup="No. 123" m_tot_mub_per_cell=2.864 pbc="T T T"
Fe 0.000 0.000 0.000
Se 2.291 0.000 0.000
Be 2.291 2.291 2.551
Se 0.000 2.291 0.000
Br 0.000 0.000 2.551

*2*
5
Lattice="-0.030 -4.494 -0.200 3.300 -0.158 3.053 -3.461 -0.143 3.734" Properties=species:S:1:pos:R:3 comment="BeFeSe2Br (PBE, optimized geometry)" spacegroup="No. 123" m_tot_mub_per_cell=3.926 pbc="T T T"
Fe -0.095 -2.398 3.293
Be 0.000 0.000 0.000
Br -1.731 -0.072 1.867
Se -0.015 -2.247 -0.100
Se 1.650 -0.079 1.527

Stability summary: most stable *2*, least stable *1*.

*1*
5
Lattice="-4.076 -2.493 1.111 2.462 -3.433 1.329 0.113 1.841 4.546" Properties=species:S:1:pos:R:3 comment="BeFeSiBr2 (PBE, optimized geometry)" spacegroup="No. 123" m_tot_mub_per_cell=3.550 pbc="T T T"
Br 0.056 0.920 2.273
Be 0.000 0.000 0.000
Br -2.038 -1.247 0.555
Si 1.231 -1.716 0.664
Fe -0.751 -2.043 3.493

*2*
5
Lattice="5.361 0.000 0.000 0.000 4.205 0.000 0.000 0.000 5.361" Properties=species:S:1:pos:R:3 comment="BeFeSiBr2 (PBE, optimized geometry)" spacegroup="No. 123" m_tot_mub_per_cell=3.709 pbc="T T T"
Be 0.000 2.103 0.000
Br 2.681 0.000 0.000
Br 0.000 0.000 2.681
Si 0.000 0.000 0.000
Fe 2.681 2.103 2.681

Stability summary: most stable *1*, least stable *2*.

*1*
4
Lattice="3.663 0.000 0.000 -1.832 3.173 0.000 0.000 0.000 6.136" Properties=species:S:1:pos:R:3 comment="ZrBeFeBr (PBE, optimized geometry)" spacegroup="No. 156" m_tot_mub_per_cell=0.000 pbc="T T T"
Fe 0.000 2.115 0.471
Be 0.000 0.000 0.403
Zr 1.832 1.058 4.991
Br 0.000 2.115 2.963

*2*
4
Lattice="3.088 -0.002 -0.002 0.002 3.089 -0.001 1.509 1.517 7.057" Properties=species:S:1:pos:R:3 comment="ZrBeFeBr (PBE, optimized geometry)" spacegroup="No. 1" m_tot_mub_per_cell=0.006 pbc="T T T"
Fe 1.972 1.720 0.107
Be 0.428 3.265 1.030
Zr 1.998 1.729 5.499
Br 3.528 3.264 3.512

Stability summary: most stable *1*, least stable *2*.

*1*
8
Lattice="-6.121 1.530 -2.611 0.510 -5.284 -4.294 -4.862 -4.666 -0.264" Properties=species:S:1:pos:R:3 comment="BeGaBr2 (PBE, optimized geometry)" spacegroup="No. 122" m_tot_mub_per_cell=0.000 pbc="T T T"
Ga 0.000 0.000 0.000
Br -5.685 -5.588 -3.340
Be -3.578 -5.914 -4.005
Br -4.189 -1.068 -1.898
Br -2.450 -4.081 -3.412
Be -2.805 -1.877 -3.452
Br -8.621 -6.104 -5.686
Ga -6.894 -2.507 -3.163

*2*
4
Lattice="1.981 0.000 9.642 -0.991 1.716 9.642 -0.991 -1.716 9.642" Properties=species:S:1:pos:R:3 comment="BeGaBr2 (PBE, optimized geometry)" spacegroup="No. 166" m_tot_mub_per_cell=0.000 pbc="T T T"
Br 0.000 0.000 25.494
Br 0.000 0.000 3.433
Ga 0.000 0.000 0.000
Be 0.000 0.000 14.464

Stability summary: most stable *2*, least stable *1*.

*1*
4
Lattice="-0.355 -4.372 9.204 2.597 -1.971 9.660 -0.991 -0.706 10.123" Properties=species:S:1:pos:R:3 comment="BeGaBr2 (PBE, optimized geometry)" spacegroup="No. 166" m_tot_mub_per_cell=0.000 pbc="T T T"
Be 0.000 0.000 0.000
Br 1.170 -6.588 27.087
Ga 0.626 -3.525 14.493
Br 0.082 -0.462 1.900

*2*
4
Lattice="-2.693 -0.898 4.252 -4.077 -3.081 -0.159 0.186 -4.602 2.219" Properties=species:S:1:pos:R:3 comment="BeGaBr2 (PBE, optimized geometry)" spacegroup="No. 225" m_tot_mub_per_cell=0.650 pbc="T T T"
Ga -3.292 -4.290 3.156
Br -1.646 -2.145 1.578
Br -4.937 -6.435 4.735
Be 0.000 0.000 0.000

Stability summary: most stable *1*, least stable *2*.

*1*
5
Lattice="5.557 0.000 0.000 0.000 5.557 0.000 0.000 0.000 5.557" Properties=species:S:1:pos:R:3 comment="BeGa3Br (PBE, optimized geometry)" spacegroup="No. 221" m_tot_mub_per_cell=0.000 pbc="T T T"
Ga 2.778 0.000 0.000
Ga 0.000 0.000 2.778
Br 0.000 0.000 0.000
Ga 0.000 2.778 0.000
Be 2.778 2.778 2.778

*2*
5
Lattice="4.704 0.000 0.000 0.000 4.704 0.000 0.000 0.000 4.704" Properties=species:S:1:pos:R:3 comment="BeGa3Br (PBE, optimized geometry)" spacegroup="No. 221" m_tot_mub_per_cell=0.000 pbc="T T T"
Ga 0.000 0.000 2.352
Ga 2.352 0.000 0.000
Be 0.000 0.000 0.000
Ga 0.000 2.352 0.000
Br 2.352 2.352 2.352

Stability summary: most stable *2*, least stable *1*.

*1*
5
Lattice="5.012 0.000 0.000 0.000 5.012 0.000 0.000 0.000 5.035" Properties=species:S:1:pos:R:3 comment="BeGaSe2Br (PBE, optimized geometry)" spacegroup="No. 123" m_tot_mub_per_cell=0.000 pbc="T T T"
Ga 0.000 0.000 0.000
Br 0.000 0.000 2.518
Se 0.000 2.506 0.000
Be 2.506 2.506 2.518
Se 2.506 0.000 0.000

*2*
5
Lattice="-2.298 4.481 1.650 -4.802 -1.799 -1.803 -0.941 -2.220 4.719" Properties=species:S:1:pos:R:3 comment="BeGaSe2Br (PBE, optimized geometry)" spacegroup="No. 123" m_tot_mub_per_cell=0.000 pbc="T T T"
Be -4.020 0.231 2.283
Se -0.470 -1.110 2.360
Ga -2.401 -0.899 -0.902
Br 0.000 0.000 0.000
Se -1.149 2.240 0.825

Stability summary: most stable *1*, least stable *2*.

*1*
5
Lattice="5.078 0.000 0.000 0.000 5.078 0.000 0.000 0.000 5.150" Properties=species:S:1:pos:R:3 comment="BeGaSeBr2 (PBE, optimized geometry)" spacegroup="No. 123" m_tot_mub_per_cell=0.000 pbc="T T T"
Br 2.539 0.000 0.000
Br 0.000 2.539 0.000
Be 2.539 2.539 2.575
Ga 0.000 0.000 0.000
Se 0.000 0.000 2.575

*2*
5
Lattice="-4.082 1.070 2.700 -2.283 -4.061 -1.842 1.650 -2.510 3.488" Properties=species:S:1:pos:R:3 comment="BeGaSeBr2 (PBE, optimized geometry)" spacegroup="No. 123" m_tot_mub_per_cell=0.000 pbc="T T T"
Ga -2.357 -2.750 2.174
Se 0.825 -1.255 1.744
Br -2.041 0.535 1.350
Br -1.142 -2.031 -0.921
Be 0.000 0.000 0.000

Stability summary: most stable *2*, least stable *1*.

*1*
8
Lattice="6.619 0.000 0.000 0.000 6.619 0.000 3.309 3.309 4.823" Properties=species:S:1:pos:R:3 comment="BeGeBr2 (PBE, optimized geometry)" spacegroup="No. 122" m_tot_mub_per_cell=0.000 pbc="T T T"
Be 3.309 6.619 2.412
Ge 0.000 0.000 0.000
Br 2.489 4.964 1.206
Br 4.964 5.798 3.617
Be 3.309 3.309 0.000
Br 8.273 7.439 3.617
Br 4.130 1.655 1.206
Ge 6.619 3.309 2.412

*2*
4
Lattice="1.927 0.000 11.689 -0.963 1.669 11.689 -0.963 -1.669 11.689" Properties=species:S:1:pos:R:3 comment="BeGeBr2 (PBE, optimized geometry)" spacegroup="No. 166" m_tot_mub_per_cell=0.000 pbc="T T T"
Ge 0.000 0.000 0.000
Be 0.000 0.000 17.533
Br 0.000 0.000 30.624
Br 0.000 0.000 4.443

*3*
4
Lattice="0.260 -1.682 4.669 -4.157 -1.208 2.440 -1.008 -4.766 0.984" Properties=species:S:1:pos:R:3 comment="BeGeBr2 (PBE, optimized geometry)" spacegroup="No. 225" m_tot_mub_per_cell=0.000 pbc="T T T"
Be 0.000 0.000 0.000
Br -3.679 -5.742 6.070
Br -1.226 -1.914 2.023
Ge -2.453 -3.828 4.046

Stability summary: most stable *2*, least stable *3*.